No. 1
The following is a SCAN calculation of TcNi2Pb at its PBEsol-relaxed geometry, from Alexandria via LeMat-Bulk.

Calculated values
For the total energy, the calculation gives -35.3761 eV per atom. Its crystal system is tetragonal. The formation enthalpy at 0 K comes out at 0.421 eV/atom. The total magnetization comes out at 0.619 μB per atom.

Cell lengths 3.8927, 3.8927, 3.7531 Å; angles 90.00, 90.00, 90.00 degrees
Space group P4/mmm (No. 123)
Symmetry-distinct sites (fractional):
Tc 0.0000 0.0000 0.0000
Ni 0.0000 0.5000 0.5000
Pb 0.5000 0.5000 0.0000

No. 2
The following is a SCAN calculation of TcNi2Pb at its PBEsol-relaxed geometry, from Alexandria via LeMat-Bulk.

Calculated values
For the total energy, the calculation gives -35.3205 eV per atom. Its crystal system is tetragonal. The formation enthalpy at 0 K comes out at 0.476 eV/atom. The total magnetization comes out at 0.000 μB per atom.

Cell lengths 3.0404, 3.0404, 6.2416 Å; angles 90.00, 90.00, 90.00 degrees
Space group P4mm (No. 99)
Symmetry-distinct sites (fractional):
Tc 0.0000 0.0000 0.0000
Ni 0.0000 0.0000 0.4042
Ni 0.5000 0.5000 0.2048
Pb 0.5000 0.5000 0.6746

No. 3
The following is a SCAN calculation of TcNiPb2 at its PBEsol-relaxed geometry, from Alexandria via LeMat-Bulk.

Calculated values
For the total energy, the calculation gives -49.9846 eV per atom. Its crystal system is cubic. The formation enthalpy at 0 K comes out at 0.714 eV/atom. The total magnetization comes out at 0.344 μB per atom. As for the excess energy over the best structure of this formula in the dataset: 26 kJ/mol of formula units.

Cell lengths 6.6006, 6.6006, 6.6006 Å; angles 90.00, 90.00, 90.00 degrees
Space group Fm-3m (No. 225)
Symmetry-distinct sites (fractional):
Tc 0.0000 0.0000 0.0000
Ni 0.0000 0.0000 0.5000
Pb 0.2500 0.2500 0.2500